Below is a relaxed structure of RbHg2S2, with properties calculated at the PBE level.

a = 7.695 Å, b = 7.695 Å, c = 7.876 Å
α = 93.06°, β = 93.06°, γ = 41.57°
Fractional coordinates of all 10 atoms:
Rb: 0.210 0.790 0.750
Rb: 0.790 0.210 0.250
Hg: 0.228 0.318 0.105
Hg: 0.318 0.228 0.605
Hg: 0.682 0.772 0.395
Hg: 0.772 0.682 0.895
S: 0.144 0.581 0.378
S: 0.419 0.856 0.122
S: 0.581 0.144 0.878
S: 0.856 0.419 0.622

Properties
distance to the lowest polymorph of the same formula: 0.000 eV per formula unit
ΔE_f (raw): -0.347 eV/atom

Below is a relaxed structure of Rh2W, with properties calculated at the PBE level.

a = 4.023 Å, b = 4.023 Å, c = 3.233 Å
α = 90.00°, β = 90.00°, γ = 90.00°
Fractional coordinates of all 3 atoms:
Rh: 0.000 0.500 0.000
Rh: 0.500 0.000 0.000
W: 0.000 0.000 0.500

Properties
DFT formation energy: 44 kJ per mole of atoms

| no. | size of the total moment (μB/cell) | volume (Å³/cell) |
| --- | --- | --- |
| 1 | 0.000 | 308.9 |
| 2 | 0.000 | 52.3 |